Entry 1:
MgP2W after structural relaxation. Source: Alexandria via LeMat-Bulk, functional GGA-PBE.

a = 4.7606 Å, b = 3.7393 Å, c = 4.5093 Å
α = 65.09°, β = 90.00°, γ = 90.00°
Positions (direct):
Mg: 0.5000 0.6510 0.8170
P: 0.0000 0.0885 0.9536
P: 0.5000 0.3539 0.4171
W: 0.0000 0.4066 0.3123

=====

Entry 2:
MgP4W after structural relaxation. Source: Alexandria via LeMat-Bulk, functional GGA-PBE.

a = 5.0159 Å, b = 5.0159 Å, c = 5.0159 Å
α = 60.00°, β = 60.00°, γ = 60.00°
Positions (direct):
Mg: 0.0000 0.0000 0.0000
P: 0.8678 0.3774 0.3774
P: 0.3774 0.3774 0.8678
P: 0.3774 0.8678 0.3774
P: 0.3774 0.3774 0.3774
W: 0.7500 0.7500 0.7500

=====

Entry 3:
MgP2W after structural relaxation. Source: Alexandria via LeMat-Bulk, functional GGA-PBE.

a = 3.1063 Å, b = 3.1063 Å, c = 6.4012 Å
α = 90.00°, β = 90.00°, γ = 90.00°
Positions (direct):
Mg: 0.5000 0.5000 0.7500
P: 0.0000 0.0000 0.0361
P: 0.0000 0.0000 0.4639
W: 0.5000 0.5000 0.2500

=====

Entry 4:
Mg2P2W after structural relaxation. Source: Alexandria via LeMat-Bulk, functional GGA-PBE.

a = 6.3505 Å, b = 6.3505 Å, c = 3.9094 Å
α = 90.00°, β = 90.00°, γ = 90.00°
Positions (direct):
P: 0.3663 0.8663 0.0000
P: 0.8663 0.6337 0.0000
P: 0.6337 0.1337 0.0000
P: 0.1337 0.3663 0.0000
Mg: 0.1762 0.6762 0.5000
Mg: 0.6762 0.8238 0.5000
Mg: 0.8238 0.3238 0.5000
Mg: 0.3238 0.1762 0.5000
W: 0.0000 0.0000 0.0000
W: 0.5000 0.5000 0.0000

=====

Entry 5:
MgP2W after structural relaxation. Source: Alexandria via LeMat-Bulk, functional GGA-PBE.

a = 6.5747 Å, b = 6.5747 Å, c = 6.5747 Å
α = 151.91°, β = 150.21°, γ = 41.41°
Positions (direct):
Mg: 0.2948 0.7948 0.5000
P: 0.9661 0.9661 0.0000
P: 0.6932 0.1932 0.5000
W: 0.5458 0.5458 0.0000

=====

Entry 6:
Mg4PW after structural relaxation. Source: Alexandria via LeMat-Bulk, functional GGA-PBE.

a = 5.4235 Å, b = 5.4235 Å, c = 5.4235 Å
α = 60.00°, β = 60.00°, γ = 60.00°
Each line ends with the local moment (μB).
Positions (direct):
Mg: 0.8772 0.3743 0.3743  0.00
Mg: 0.3743 0.3743 0.8772  0.00
Mg: 0.3743 0.8772 0.3743  0.00
Mg: 0.3743 0.3743 0.3743  0.00
P: 0.7500 0.7500 0.7500  0.00
W: 0.0000 0.0000 0.0000  1.17

=====

Entry 7:
MgP2W after structural relaxation. Source: Alexandria via LeMat-Bulk, functional GGA-PBE.

a = 3.0400 Å, b = 3.0400 Å, c = 7.5700 Å
α = 90.00°, β = 90.00°, γ = 112.39°
Positions (direct):
Mg: 0.5000 0.5000 0.7500
P: 0.0000 0.0000 0.0152
P: 0.0000 0.0000 0.4848
W: 0.5000 0.5000 0.2500

=====

Entry 8:
MgPW3 after structural relaxation. Source: Alexandria via LeMat-Bulk, functional GGA-PBE.

Calculated values
* offset from the most stable computed form: 0 meV per atom

a = 4.4964 Å, b = 4.4964 Å, c = 4.4964 Å
α = 90.00°, β = 90.00°, γ = 90.00°
Positions (direct):
P: 0.0000 0.0000 0.0000
Mg: 0.5000 0.5000 0.5000
W: 0.0000 0.5000 0.0000
W: 0.0000 0.0000 0.5000
W: 0.5000 0.0000 0.0000

=====

Entry 9:
Mg2PW2 after structural relaxation. Source: Alexandria via LeMat-Bulk, functional GGA-PBE.

Calculated values
* offset from the most stable computed form: 556 meV per atom

a = 3.5160 Å, b = 3.5160 Å, c = 8.6366 Å
α = 78.26°, β = 78.26°, γ = 90.00°
Positions (direct):
P: 0.0000 0.0000 0.0000
Mg: 0.4062 0.4062 0.1876
Mg: 0.5938 0.5938 0.8124
W: 0.7500 0.2500 0.5000
W: 0.2500 0.7500 0.5000

=====

Entry 10:
MgP2W after structural relaxation. Source: Alexandria via LeMat-Bulk, functional GGA-PBE.

a = 2.7723 Å, b = 2.7723 Å, c = 9.7997 Å
α = 90.00°, β = 90.00°, γ = 106.19°
Positions (direct):
Mg: 0.5000 0.5000 0.7401
P: 0.0000 0.0000 0.9493
P: 0.5000 0.5000 0.3125
W: 0.0000 0.0000 0.4981

=====

Entry 11:
MgP2W after structural relaxation. Source: Alexandria via LeMat-Bulk, functional GGA-PBE.

a = 7.0909 Å, b = 7.0909 Å, c = 7.0909 Å
α = 27.18°, β = 27.18°, γ = 27.18°
Positions (direct):
Mg: 0.7500 0.7500 0.7500
P: 0.9934 0.9934 0.9934
P: 0.5066 0.5066 0.5066
W: 0.2500 0.2500 0.2500

=====

Entry 12:
MgP2W after structural relaxation. Source: Alexandria via LeMat-Bulk, functional GGA-PBE.

a = 4.2815 Å, b = 4.2815 Å, c = 5.2584 Å
α = 72.53°, β = 72.53°, γ = 45.16°
Positions (direct):
Mg: 0.7500 0.7500 0.7500
P: 0.9914 0.9914 0.0618
P: 0.5086 0.5086 0.4382
W: 0.2500 0.2500 0.2500

=====

Entry 13:
MgP2W after structural relaxation. Source: Alexandria via LeMat-Bulk, functional GGA-PBE.

a = 3.2953 Å, b = 3.2953 Å, c = 5.8661 Å
α = 90.00°, β = 90.00°, γ = 90.00°
Positions (direct):
Mg: 0.5000 0.5000 0.7782
P: 0.0000 0.0000 0.0013
P: 0.5000 0.5000 0.2975
W: 0.0000 0.0000 0.4230

=====

Entry 14:
Mg2PW2 after structural relaxation. Source: Alexandria via LeMat-Bulk, functional GGA-PBE.

Calculated values
* offset from the most stable computed form: 0 meV per atom

a = 6.2025 Å, b = 6.2025 Å, c = 4.6842 Å
α = 90.00°, β = 90.00°, γ = 90.00°
Positions (direct):
P: 0.0000 0.0000 0.0000
P: 0.5000 0.5000 0.0000
Mg: 0.1591 0.6591 0.5000
Mg: 0.6591 0.8409 0.5000
Mg: 0.8409 0.3409 0.5000
Mg: 0.3409 0.1591 0.5000
W: 0.3538 0.8538 0.0000
W: 0.8538 0.6462 0.0000
W: 0.6462 0.1462 0.0000
W: 0.1462 0.3538 0.0000

=====

Entry 15:
Mg3PW after structural relaxation. Source: Alexandria via LeMat-Bulk, functional GGA-PBE.

Calculated values
* offset from the most stable computed form: 707 meV per atom

a = 5.2112 Å, b = 5.2112 Å, c = 5.2112 Å
α = 90.00°, β = 90.00°, γ = 90.00°
Each line ends with the local moment (μB).
Positions (direct):
P: 0.5000 0.5000 0.5000  -0.05
Mg: 0.0000 0.5000 0.0000  0.01
Mg: 0.0000 0.0000 0.5000  0.00
Mg: 0.5000 0.0000 0.0000  0.02
W: 0.0000 0.0000 0.0000  1.96

=====

Entry 16:
Mg2PW2 after structural relaxation. Source: Alexandria via LeMat-Bulk, functional GGA-PBE.

Calculated values
* offset from the most stable computed form: 874 meV per atom

a = 6.2714 Å, b = 6.2714 Å, c = 4.4905 Å
α = 90.00°, β = 90.00°, γ = 90.00°
Positions (direct):
P: 0.0000 0.0000 0.0000
P: 0.5000 0.5000 0.0000
Mg: 0.3535 0.8535 0.0000
Mg: 0.8535 0.6465 0.0000
Mg: 0.6465 0.1465 0.0000
Mg: 0.1465 0.3535 0.0000
W: 0.1407 0.6407 0.5000
W: 0.6407 0.8593 0.5000
W: 0.8593 0.3593 0.5000
W: 0.3593 0.1407 0.5000

=====

Entry 17:
MgP2W after structural relaxation. Source: Alexandria via LeMat-Bulk, functional GGA-PBE.

a = 6.5813 Å, b = 6.5813 Å, c = 3.4528 Å
α = 91.26°, β = 91.26°, γ = 28.07°
Positions (direct):
Mg: 0.7754 0.7754 0.8886
P: 0.9776 0.9776 0.8617
P: 0.1948 0.1948 0.3814
W: 0.5522 0.5522 0.3682

=====

Entry 18:
Mg3PW after structural relaxation. Source: Alexandria via LeMat-Bulk, functional GGA-PBE.

Calculated values
* offset from the most stable computed form: 0 meV per atom

a = 4.8211 Å, b = 4.8211 Å, c = 4.8211 Å
α = 90.00°, β = 90.00°, γ = 90.00°
Each line ends with the local moment (μB).
Positions (direct):
P: 0.0000 0.0000 0.0000  0.05
Mg: 0.0000 0.5000 0.0000  -0.01
Mg: 0.0000 0.0000 0.5000  -0.02
Mg: 0.5000 0.0000 0.0000  -0.01
W: 0.5000 0.5000 0.5000  2.55

=====

Entry 19:
MgP2W after structural relaxation. Source: Alexandria via LeMat-Bulk, functional GGA-PBE.

a = 4.3932 Å, b = 4.3932 Å, c = 4.3932 Å
α = 60.00°, β = 60.00°, γ = 60.00°
Each line ends with the local moment (μB).
Positions (direct):
Mg: 0.5000 0.5000 0.5000  0.01
P: 0.0000 0.0000 0.0000  -0.01
P: 0.2500 0.2500 0.2500  0.00
W: 0.7500 0.7500 0.7500  0.14

=====

Entry 20:
Mg2PW2 after structural relaxation. Source: Alexandria via LeMat-Bulk, functional GGA-PBE.

Calculated values
* offset from the most stable computed form: 771 meV per atom

a = 3.4076 Å, b = 3.4076 Å, c = 7.7368 Å
α = 77.28°, β = 77.28°, γ = 90.00°
Positions (direct):
P: 0.0000 0.0000 0.0000
Mg: 0.7500 0.2500 0.5000
Mg: 0.2500 0.7500 0.5000
W: 0.4157 0.4157 0.1685
W: 0.5843 0.5843 0.8315

=====

These records have formation energy values of -91, 704, -248, -300, -253, 765, 151, 828, 678, 286, -302, -78, 16, 121, 1577, 996, -222, 870, 712, 893 meV/atom, in the order they appear.
These records have calculated volume values of 18.20, 14.87, 15.44, 15.77, 16.59, 18.80, 16.17, 18.18, 20.45, 18.08, 16.41, 16.16, 15.93, 18.02, 28.30, 17.66, 17.59, 22.41, 14.99, 17.07 Å³ per atom, in the order they appear.